1.
Entry from Alexandria: CePuPd after structural relaxation (PBE-GGA).

Cell: 5.7422 5.7422 5.7422 Å, 143.65 143.65 52.35°
With the nearest neighbours (Å) after each atom.
Element x y z (fractional)
Ce (0.0000, 0.0000, 0.0000)  4 Pd 3.05, 4 Pu 3.06
Pu (0.3326, 0.3326, 0.0000)  5 Ce 3.06-3.43, 5 Pd 3.07-3.43
Pd (0.6650, 0.6650, 0.0000)  4 Ce 3.05, 4 Pu 3.07

## Properties
Total magnetic moment: 5.98 μB/cell
Energy above the lowest structure with this stoichiometry: 0.0181 eV per atom

=====

2.
Entry from Alexandria: PrEuCuRu after structural relaxation (PBE-GGA).

Cell: 5.0292 5.0292 5.0292 Å, 60.00 60.00 60.00°
With the nearest neighbours (Å) after each atom.
Element x y z (fractional)
Pr (0.0000, 0.0000, 0.0000)  4 Cu 3.08, 4 Ru 3.08
Eu (0.5000, 0.5000, 0.5000)  4 Cu 3.08, 4 Ru 3.08
Cu (0.7500, 0.7500, 0.7500)  4 Eu 3.08, 4 Pr 3.08
Ru (0.2500, 0.2500, 0.2500)  4 Eu 3.08, 4 Pr 3.08

## Properties
Total magnetic moment: 6.70 μB/cell

=====

Number 1: energy of formation -1.04 eV per formula unit. Number 2: energy of formation -0.07 eV per formula unit.